Record 1
# BePtRh2

An optimized crystal structure of BePtRh2 (PBE, Alexandria).

As for the spin magnetization: 0.0 Bohr magnetons per cell. The calculation puts the energy at -6.357 eV per atom. For the density of states at the Fermi level, the calculation gives 1.300 states/eV/atom. Its crystal system is monoclinic.

The structure belongs to space group Cm (No. 8); the cell edges are 8.752, 3.865 and 6.716 Å and the angles 90.00°, 113.11° and 90.00°. The inequivalent atoms are Be at (0.000, 0.000, 0.000), Be at (0.210, 0.000, 0.858), Pt at (0.224, 0.500, 0.653), Pt at (0.480, 0.500, 0.498), Rh at (0.232, 0.000, 0.351), Rh at (0.254, 0.500, 0.083), Rh at (0.457, 0.000, 0.778) and Rh at (0.486, 0.000, 0.203).


Record 2
# PrDy4Th

An optimized crystal structure of PrDy4Th (PBE, Alexandria).

As for the spin magnetization: 0.0 Bohr magnetons per cell. Its energy above the most stable polymorph in this dataset is 0.124 eV per atom. The calculation puts the energy at -4.948 eV per atom. For the density of states at the Fermi level, the calculation gives 1.680 states/eV/atom. Its crystal system is monoclinic.

The structure belongs to space group C2/c (No. 15); the cell edges are 8.870, 14.604 and 6.633 Å and the angles 90.00°, 109.69° and 90.00°. The inequivalent atoms are Pr at (0.000, 0.087, 0.250), Dy at (0.092, 0.308, 0.533), Dy at (0.204, 0.130, 0.876) and Th at (0.000, 0.499, 0.750).


Record 3
# SiAg2Mo

An optimized crystal structure of SiAg2Mo (PBE, Alexandria).

As for the spin magnetization: 0.0 Bohr magnetons per cell. The calculation puts the energy at -4.987 eV per atom. The formation energy without anion corrections comes out at 0.5022 eV per atom. For the density of states at the Fermi level, the calculation gives 0.328 states/eV/atom. Its crystal system is tetragonal.

The structure belongs to space group I-42d (No. 122); the cell edges are 3.671, 3.671 and 20.638 Å and the angles 90.00°, 90.00° and 90.00°. The inequivalent atoms are Si at (0.000, 0.000, 0.000), Ag at (0.249, 0.250, 0.125) and Mo at (0.000, 0.000, 0.500).


Record 4
# Sm2Ga3GeAu4

An optimized crystal structure of Sm2Ga3GeAu4 (PBE, Alexandria).

As for the spin magnetization: 0.0 Bohr magnetons per cell. The calculation puts the energy at -4.217 eV per atom. For the density of states at the Fermi level, the calculation gives 0.538 states/eV/atom. Its crystal system is tetragonal.

The structure belongs to space group P-4m2 (No. 115); the cell edges are 4.427, 4.427 and 10.560 Å and the angles 90.00°, 90.00° and 90.00°. The inequivalent atoms are Sm at (0.000, 0.500, 0.247), Ga at (0.000, 0.500, 0.869), Ga at (0.500, 0.500, 0.500), Ge at (0.000, 0.000, 0.500), Au at (0.000, 0.000, 0.000), Au at (0.000, 0.500, 0.633) and Au at (0.500, 0.500, 0.000).


Record 5
# YTcC2

An optimized crystal structure of YTcC2 (PBE, Alexandria).

As for the spin magnetization: 0.0 Bohr magnetons per cell. Its energy above the most stable polymorph in this dataset is 0.329 eV per atom. The calculation puts the energy at -8.603 eV per atom. For the density of states at the Fermi level, the calculation gives 0.417 states/eV/atom. Its crystal system is tetragonal.

The structure belongs to space group I-42d (No. 122); the cell edges are 4.906, 4.906 and 10.422 Å and the angles 90.00°, 90.00° and 90.00°. The inequivalent atoms are Y at (0.000, 0.000, 0.000), Tc at (0.000, 0.000, 0.500) and C at (0.162, 0.250, 0.625).


Record 6
# LaIrRu

An optimized crystal structure of LaIrRu (PBE, Alexandria).

As for the spin magnetization: 0.6 Bohr magnetons per cell. Its energy above the most stable polymorph in this dataset is 0.765 eV per atom. The calculation puts the energy at -7.177 eV per atom. For the density of states at the Fermi level, the calculation gives 1.764 states/eV/atom. Its crystal system is trigonal.

The structure belongs to space group P3m1 (No. 156); the cell edges are 2.9076, 2.9076 and 7.6050 Å and the angles 90.00°, 90.00° and 120.00°. The inequivalent atoms are La at (0.0000, 0.0000, 0.0000), Ir at (0.3333, 0.6667, 0.6345) and Ru at (0.6667, 0.3333, 0.3655).


Record 7
# Pm2CoNi3Ge4

An optimized crystal structure of Pm2CoNi3Ge4 (PBE, Alexandria).

As for the spin magnetization: 0.9 Bohr magnetons per cell. The calculation puts the energy at -5.910 eV per atom. For the density of states at the Fermi level, the calculation gives 0.523 states/eV/atom. Its crystal system is tetragonal.

The structure belongs to space group P-4m2 (No. 115); the cell edges are 4.126, 4.126 and 9.765 Å and the angles 90.00°, 90.00° and 90.00°. The inequivalent atoms are Pm at (0.000, 0.500, 0.250), Co at (0.000, 0.000, 0.500), Ni at (0.000, 0.500, 0.873), Ni at (0.500, 0.500, 0.500), Ge at (0.000, 0.000, 0.000), Ge at (0.000, 0.500, 0.628) and Ge at (0.500, 0.500, 0.000).